No. 1
PmAgTeO after structural relaxation. Source: the Alexandria database, functional PBE.

volume: 87.0 Å³/f.u.

a b c (Å): 4.1587 4.1587 10.0555
angles (deg): 90.00 90.00 90.00
Space group P4/nmm (No. 129, origin choice 2)
One atom of each set of equivalent atoms:
Pm1 0.2500 0.2500 0.1109 x2
Ag1 0.2500 0.7500 0.5000 x2
Te1 0.2500 0.2500 0.7046 x2
O1 0.2500 0.7500 0.0000 x2


No. 2
Sm6ErTm2Sc3 after structural relaxation. Source: the Alexandria database, functional PBE.

DFT formation energy: 0.0436 eV per atom
volume: 362.5 Å³/f.u.

a b c (Å): 6.0999 10.5568 11.4396
angles (deg): 90.00 100.21 90.00
Space group C2/m (No. 12)
One atom of each set of equivalent atoms:
Sm1 0.2474 0.0000 0.2424 x4
Sm2 0.2474 0.3333 0.2424 x8
Er1 0.0000 0.0000 0.5000 x2
Tm1 0.0000 0.3333 0.5000 x4
Sc1 0.0000 0.1668 0.0000 x4
Sc2 0.0000 0.5000 0.0000 x2


Sequential electronic total energy output: -5.7488; -5.0244 eV per atom
Sequential M_tot output: 0.0; 0.0 μB/f.u.